(1)
# Nd4Y2H | Alexandria | PBE | relaxed
# volume: 31.101 A^3/atom
# energy: -4.970 eV per atom
# DOS(E_F): 9.5 states/eV/f.u.
# space group: No. 139
data_Nd4Y2H
_chemical_formula_sum 'Nd8 Y4 H2'
_symmetry_space_group_name_H-M 'P 1'
_symmetry_Int_Tables_number 1
_cell_length_a 4.9762
_cell_length_b 4.9762
_cell_length_c 17.5835
_cell_angle_alpha 90.00
_cell_angle_beta 90.00
_cell_angle_gamma 90.00
loop_
_symmetry_equiv_pos_as_xyz
'x,y,z'
loop_
_atom_site_label
_atom_site_type_symbol
_atom_site_fract_x
_atom_site_fract_y
_atom_site_fract_z
_atom_site_occupancy
Nd1 Nd 0.0000 0.0000 0.1517 1
Nd2 Nd 0.0000 0.0000 0.8483 1
Nd3 Nd 0.0000 0.5000 0.0000 1
Nd4 Nd 0.0000 0.5000 0.5000 1
Nd5 Nd 0.5000 0.0000 0.0000 1
Nd6 Nd 0.5000 0.0000 0.5000 1
Nd7 Nd 0.5000 0.5000 0.3483 1
Nd8 Nd 0.5000 0.5000 0.6517 1
Y1 Y 0.0000 0.0000 0.3537 1
Y2 Y 0.0000 0.0000 0.6463 1
Y3 Y 0.5000 0.5000 0.1463 1
Y4 Y 0.5000 0.5000 0.8537 1
H1 H 0.0000 0.0000 0.0000 1
H2 H 0.5000 0.5000 0.5000 1

---

(2)
# ThTcBi | Alexandria | PBE | relaxed
# volume: 26.578 A^3/atom
# energy relative to the elements: -0.088 eV/atom
# DOS(E_F): 2.6 states/eV/f.u.
# space group: No. 14
data_ThTcBi
_chemical_formula_sum 'Th4 Tc4 Bi4'
_symmetry_space_group_name_H-M 'P 1'
_symmetry_Int_Tables_number 1
_cell_length_a 8.0137
_cell_length_b 5.4608
_cell_length_c 7.2926
_cell_angle_alpha 90.00
_cell_angle_beta 92.00
_cell_angle_gamma 90.00
loop_
_symmetry_equiv_pos_as_xyz
'x,y,z'
loop_
_atom_site_label
_atom_site_type_symbol
_atom_site_fract_x
_atom_site_fract_y
_atom_site_fract_z
_atom_site_occupancy
Th1 Th 0.1522 0.1472 0.3382 1
Th2 Th 0.1522 0.3528 0.8382 1
Th3 Th 0.8478 0.6472 0.1618 1
Th4 Th 0.8478 0.8528 0.6618 1
Tc1 Tc 0.1304 0.6362 0.4365 1
Tc2 Tc 0.1304 0.8638 0.9365 1
Tc3 Tc 0.8696 0.1362 0.0635 1
Tc4 Tc 0.8696 0.3638 0.5635 1
Bi1 Bi 0.3878 0.6566 0.1754 1
Bi2 Bi 0.3878 0.8434 0.6754 1
Bi3 Bi 0.6122 0.1566 0.3246 1
Bi4 Bi 0.6122 0.3434 0.8246 1

---

(3)
# Nd2As4Au | Alexandria | PBE | relaxed
# volume: 23.689 A^3/atom
# energy relative to the elements: -0.815 eV/atom
# DOS(E_F): 4.6 states/eV/f.u.
# space group: No. 115
data_Nd2As4Au
_chemical_formula_sum 'Nd2 As4 Au1'
_symmetry_space_group_name_H-M 'P 1'
_symmetry_Int_Tables_number 1
_cell_length_a 4.0923
_cell_length_b 4.0923
_cell_length_c 9.9014
_cell_angle_alpha 90.00
_cell_angle_beta 90.00
_cell_angle_gamma 90.00
loop_
_symmetry_equiv_pos_as_xyz
'x,y,z'
loop_
_atom_site_label
_atom_site_type_symbol
_atom_site_fract_x
_atom_site_fract_y
_atom_site_fract_z
_atom_site_occupancy
Nd1 Nd 0.0000 0.5000 0.2417 1
Nd2 Nd 0.5000 0.0000 0.7583 1
As1 As 0.0000 0.0000 0.0000 1
As2 As 0.0000 0.5000 0.6609 1
As3 As 0.5000 0.0000 0.3391 1
As4 As 0.5000 0.5000 0.0000 1
Au1 Au 0.0000 0.0000 0.5000 1

---

(4)
# Er4Co2Pt | Alexandria | PBE | relaxed
# volume: 21.291 A^3/atom
# energy relative to the elements: -0.470 eV/atom
# DOS(E_F): 1.7 states/eV/f.u.
# space group: No. 24
data_Er4Co2Pt
_chemical_formula_sum 'Er8 Co4 Pt2'
_symmetry_space_group_name_H-M 'P 1'
_symmetry_Int_Tables_number 1
_cell_length_a 7.2893
_cell_length_b 7.2893
_cell_length_c 7.2893
_cell_angle_alpha 110.53
_cell_angle_beta 108.95
_cell_angle_gamma 108.94
loop_
_symmetry_equiv_pos_as_xyz
'x,y,z'
loop_
_atom_site_label
_atom_site_type_symbol
_atom_site_fract_x
_atom_site_fract_y
_atom_site_fract_z
_atom_site_occupancy
Er1 Er 0.0053 0.1221 0.9937 1
Er2 Er 0.1287 0.0063 0.5112 1
Er3 Er 0.3713 0.8825 0.8776 1
Er4 Er 0.4947 0.4884 0.1169 1
Er5 Er 0.5049 0.4937 0.6224 1
Er6 Er 0.6284 0.0116 0.5063 1
Er7 Er 0.8716 0.3779 0.3831 1
Er8 Er 0.9951 0.6175 0.9888 1
Co1 Co 0.1217 0.3717 0.7500 1
Co2 Co 0.3783 0.1283 0.2500 1
Co3 Co 0.6235 0.2500 0.8735 1
Co4 Co 0.8765 0.7500 0.6265 1
Pt1 Pt 0.2500 0.6246 0.3746 1
Pt2 Pt 0.7500 0.8754 0.1254 1

---

(5)
# CaAcCuN2 | Alexandria | PBE | relaxed
# volume: 17.754 A^3/atom
# uncorrected formation energy: -3.1 eV per formula unit
# space group: No. 13
data_CaAcCuN2
_chemical_formula_sum 'Ca2 Ac2 Cu2 N4'
_symmetry_space_group_name_H-M 'P 1'
_symmetry_Int_Tables_number 1
_cell_length_a 6.1133
_cell_length_b 4.3408
_cell_length_c 6.8624
_cell_angle_alpha 90.00
_cell_angle_beta 102.86
_cell_angle_gamma 90.00
loop_
_symmetry_equiv_pos_as_xyz
'x,y,z'
loop_
_atom_site_label
_atom_site_type_symbol
_atom_site_fract_x
_atom_site_fract_y
_atom_site_fract_z
_atom_site_occupancy
Ca1 Ca 0.0000 0.0274 0.2500 1
Ca2 Ca 0.0000 0.9726 0.7500 1
Ac1 Ac 0.5000 0.3092 0.7500 1
Ac2 Ac 0.5000 0.6908 0.2500 1
Cu1 Cu 0.0000 0.5000 0.0000 1
Cu2 Cu 0.0000 0.5000 0.5000 1
N1 N 0.2573 0.2459 0.0363 1
N2 N 0.2573 0.7541 0.5363 1
N3 N 0.7427 0.2459 0.4637 1
N4 N 0.7427 0.7541 0.9637 1

---

(6)
# MnAg2Te | Alexandria | PBE | relaxed
# volume: 20.278 A^3/atom
# uncorrected formation energy: 1.1 eV per formula unit
# DOS(E_F): 2.4 states/eV/f.u.
# space group: No. 216
data_MnAg2Te
_chemical_formula_sum 'Mn4 Ag8 Te4'
_symmetry_space_group_name_H-M 'P 1'
_symmetry_Int_Tables_number 1
_cell_length_a 6.8714
_cell_length_b 6.8714
_cell_length_c 6.8714
_cell_angle_alpha 90.00
_cell_angle_beta 90.00
_cell_angle_gamma 90.00
loop_
_symmetry_equiv_pos_as_xyz
'x,y,z'
loop_
_atom_site_label
_atom_site_type_symbol
_atom_site_fract_x
_atom_site_fract_y
_atom_site_fract_z
_atom_site_occupancy
Mn1 Mn 0.0000 0.0000 0.0000 1
Mn2 Mn 0.0000 0.5000 0.5000 1
Mn3 Mn 0.5000 0.0000 0.5000 1
Mn4 Mn 0.5000 0.5000 0.0000 1
Ag1 Ag 0.0000 0.0000 0.5000 1
Ag2 Ag 0.0000 0.5000 0.0000 1
Ag3 Ag 0.2500 0.2500 0.2500 1
Ag4 Ag 0.2500 0.7500 0.7500 1
Ag5 Ag 0.5000 0.0000 0.0000 1
Ag6 Ag 0.5000 0.5000 0.5000 1
Ag7 Ag 0.7500 0.2500 0.7500 1
Ag8 Ag 0.7500 0.7500 0.2500 1
Te1 Te 0.2500 0.2500 0.7500 1
Te2 Te 0.2500 0.7500 0.2500 1
Te3 Te 0.7500 0.2500 0.2500 1
Te4 Te 0.7500 0.7500 0.7500 1

---

(7)
# Li5Dy4Hg6 | Alexandria | PBE | relaxed
# volume: 23.212 A^3/atom
# energy relative to the elements: -0.318 eV/atom
# DOS(E_F): 9.0 states/eV/f.u.
# space group: No. 36
data_Li5Dy4Hg6
_chemical_formula_sum 'Li10 Dy8 Hg12'
_symmetry_space_group_name_H-M 'P 1'
_symmetry_Int_Tables_number 1
_cell_length_a 11.0782
_cell_length_b 11.0782
_cell_length_c 13.3963
_cell_angle_alpha 90.00
_cell_angle_beta 90.00
_cell_angle_gamma 154.94
loop_
_symmetry_equiv_pos_as_xyz
'x,y,z'
loop_
_atom_site_label
_atom_site_type_symbol
_atom_site_fract_x
_atom_site_fract_y
_atom_site_fract_z
_atom_site_occupancy
Li1 Li 0.0378 0.9622 0.5000 1
Li2 Li 0.1638 0.8362 0.8450 1
Li3 Li 0.1697 0.8303 0.4530 1
Li4 Li 0.2049 0.7951 0.1207 1
Li5 Li 0.3171 0.6829 0.5050 1
Li6 Li 0.6829 0.3171 0.0050 1
Li7 Li 0.7951 0.2049 0.6207 1
Li8 Li 0.8303 0.1697 0.9530 1
Li9 Li 0.8362 0.1638 0.3450 1
Li10 Li 0.9622 0.0378 0.0000 1
Dy1 Dy 0.3187 0.6813 0.7898 1
Dy2 Dy 0.3690 0.6310 0.1385 1
Dy3 Dy 0.4442 0.5558 0.3722 1
Dy4 Dy 0.4634 0.5366 0.6454 1
Dy5 Dy 0.5366 0.4634 0.1454 1
Dy6 Dy 0.5558 0.4442 0.8722 1
Dy7 Dy 0.6310 0.3690 0.6385 1
Dy8 Dy 0.6813 0.3187 0.2898 1
Hg1 Hg 0.0529 0.9471 0.7156 1
Hg2 Hg 0.0870 0.9130 0.2844 1
Hg3 Hg 0.0938 0.9062 0.0219 1
Hg4 Hg 0.2172 0.7828 0.6374 1
Hg5 Hg 0.2731 0.7269 0.3120 1
Hg6 Hg 0.4223 0.5777 0.9348 1
Hg7 Hg 0.5777 0.4223 0.4348 1
Hg8 Hg 0.7269 0.2731 0.8120 1
Hg9 Hg 0.7828 0.2172 0.1374 1
Hg10 Hg 0.9062 0.0938 0.5219 1
Hg11 Hg 0.9130 0.0870 0.7844 1
Hg12 Hg 0.9471 0.0529 0.2156 1

---

(8)
# Sr2CaBe | Alexandria | PBE | relaxed
# volume: 39.725 A^3/atom
# energy relative to the elements: 0.338 eV/atom
# DOS(E_F): 3.5 states/eV/f.u.
# space group: No. 6
data_Sr2CaBe
_chemical_formula_sum 'Sr2 Ca1 Be1'
_symmetry_space_group_name_H-M 'P 1'
_symmetry_Int_Tables_number 1
_cell_length_a 4.5732
_cell_length_b 4.1924
_cell_length_c 8.5967
_cell_angle_alpha 90.00
_cell_angle_beta 105.41
_cell_angle_gamma 90.00
loop_
_symmetry_equiv_pos_as_xyz
'x,y,z'
loop_
_atom_site_label
_atom_site_type_symbol
_atom_site_fract_x
_atom_site_fract_y
_atom_site_fract_z
_atom_site_occupancy
Sr1 Sr 0.0000 0.0000 0.0000 1
Sr2 Sr 0.3401 0.5000 0.6826 1
Ca1 Ca 0.6609 0.5000 0.3219 1
Be1 Be 0.7944 0.0000 0.5933 1